## VP2IO (PBE+U)

Data for a relaxed structure of VP2IO.

Computed properties:
Total energy ... -18.74 eV per cell

a b c (Å): 5.0761 5.0761 3.8903
angles (deg): 90.00 90.00 90.00
Closest atoms and distances in Å follow each position.
Fractional positions:
I  0.0000  0.0000  0.0000  2 O 1.95
P  0.0000  0.5000  0.0000  2 I 2.54
P  0.5000  0.0000  0.0000  2 I 2.54
O  0.0000  0.0000  0.5000  2 I 1.95
V  0.5000  0.5000  0.5000  8 P 3.20